Entry a
# Cu3CBr PBE-GGA optimized geometry
data_Cu3CBr
_chemical_formula_sum 'Cu3 C1 Br1'
_space_group_name_H-M_alt 'P m -3 m'
_space_group_IT_number 221
_space_group_name_Hall '-P 4 2 3'
_cell_length_a 4.072
_cell_length_b 4.072
_cell_length_c 4.072
_cell_angle_alpha 90.00
_cell_angle_beta 90.00
_cell_angle_gamma 90.00
loop_
_atom_site_label
_atom_site_type_symbol
_atom_site_fract_x
_atom_site_fract_y
_atom_site_fract_z
_atom_site_occupancy
Cu1 Cu 0.000 0.000 0.500 1
C1 C 0.000 0.000 0.000 1
Br1 Br 0.500 0.500 0.500 1
# DOS at the Fermi energy: 4.44 states/eV per cell

Entry b
# Cu3CBr PBE-GGA optimized geometry
data_Cu3CBr
_chemical_formula_sum 'Cu3 C1 Br1'
_space_group_name_H-M_alt 'P m -3 m'
_space_group_IT_number 221
_space_group_name_Hall '-P 4 2 3'
_cell_length_a 4.625
_cell_length_b 4.625
_cell_length_c 4.625
_cell_angle_alpha 90.00
_cell_angle_beta 90.00
_cell_angle_gamma 90.00
loop_
_atom_site_label
_atom_site_type_symbol
_atom_site_fract_x
_atom_site_fract_y
_atom_site_fract_z
_atom_site_occupancy
Cu1 Cu 0.000 0.000 0.500 1
C1 C 0.500 0.500 0.500 1
Br1 Br 0.000 0.000 0.000 1
# DOS at the Fermi energy: 1.01 states/eV per cell

Which is most stable? The ranking, best first, is entry a, entry b.

Entry a
# CSeBr2F PBE-GGA optimized geometry
data_CSeBr2F
_chemical_formula_sum 'C1 Se1 Br2 F1'
_space_group_name_H-M_alt 'P 4/m m m'
_space_group_IT_number 123
_space_group_name_Hall '-P 4 2'
_cell_length_a 4.677
_cell_length_b 4.677
_cell_length_c 4.251
_cell_angle_alpha 90.00
_cell_angle_beta 90.00
_cell_angle_gamma 90.00
loop_
_atom_site_label
_atom_site_type_symbol
_atom_site_fract_x
_atom_site_fract_y
_atom_site_fract_z
_atom_site_occupancy
C1 C 0.000 0.000 0.000 1
Se1 Se 0.000 0.000 0.500 1
Br1 Br 0.000 0.500 0.000 1
F1 F 0.500 0.500 0.500 1
# DOS at the Fermi energy: 4.24 states/eV per cell

Entry b
# CSeBr2F PBE-GGA optimized geometry
data_CSeBr2F
_chemical_formula_sum 'C1 Se1 Br2 F1'
_space_group_name_H-M_alt 'P 4/m m m'
_space_group_IT_number 123
_space_group_name_Hall '-P 4 2'
_cell_length_a 5.648
_cell_length_b 5.648
_cell_length_c 3.859
_cell_angle_alpha 90.00
_cell_angle_beta 90.00
_cell_angle_gamma 90.00
loop_
_atom_site_label
_atom_site_type_symbol
_atom_site_fract_x
_atom_site_fract_y
_atom_site_fract_z
_atom_site_occupancy
C1 C 0.000 0.000 0.000 1
Se1 Se 0.500 0.500 0.000 1
Br1 Br 0.000 0.500 0.500 1
F1 F 0.500 0.500 0.500 1
# DOS at the Fermi energy: 5.00 states/eV per cell

Which is most stable? The ranking, best first, is entry a, entry b.

Entry a
# CSe2BrF PBE-GGA optimized geometry
data_CSe2BrF
_chemical_formula_sum 'C1 Se2 Br1 F1'
_space_group_name_H-M_alt 'P 4/m m m'
_space_group_IT_number 123
_space_group_name_Hall '-P 4 2'
_cell_length_a 4.223
_cell_length_b 4.223
_cell_length_c 7.367
_cell_angle_alpha 90.00
_cell_angle_beta 90.00
_cell_angle_gamma 90.00
loop_
_atom_site_label
_atom_site_type_symbol
_atom_site_fract_x
_atom_site_fract_y
_atom_site_fract_z
_atom_site_occupancy
C1 C 0.000 0.000 0.000 1
Se1 Se 0.000 0.500 0.500 1
Br1 Br 0.500 0.500 0.000 1
F1 F 0.500 0.500 0.500 1
# DOS at the Fermi energy: 5.44 states/eV per cell

Entry b
# CSe2BrF PBE-GGA optimized geometry
data_CSe2BrF
_chemical_formula_sum 'C1 Se2 Br1 F1'
_space_group_name_H-M_alt 'P 4/m m m'
_space_group_IT_number 123
_space_group_name_Hall '-P 4 2'
_cell_length_a 4.349
_cell_length_b 4.349
_cell_length_c 4.659
_cell_angle_alpha 90.00
_cell_angle_beta 90.00
_cell_angle_gamma 90.00
loop_
_atom_site_label
_atom_site_type_symbol
_atom_site_fract_x
_atom_site_fract_y
_atom_site_fract_z
_atom_site_occupancy
C1 C 0.000 0.000 0.000 1
Se1 Se 0.000 0.500 0.000 1
Br1 Br 0.000 0.000 0.500 1
F1 F 0.500 0.500 0.500 1
# DOS at the Fermi energy: 4.79 states/eV per cell

Which is most stable? The ranking, best first, is entry b, entry a.

Entry a
# FeCBr2 PBE-GGA optimized geometry
data_FeCBr2
_chemical_formula_sum 'Fe3 C3 Br6'
_space_group_name_H-M_alt 'R -3 m'
_space_group_IT_number 166
_space_group_name_Hall '-R 3 2"'
_cell_length_a 3.5301
_cell_length_b 3.5301
_cell_length_c 22.8363
_cell_angle_alpha 90.00
_cell_angle_beta 90.00
_cell_angle_gamma 120.00
loop_
_atom_site_label
_atom_site_type_symbol
_atom_site_fract_x
_atom_site_fract_y
_atom_site_fract_z
_atom_site_occupancy
Fe1 Fe 0.0000 0.0000 0.0000 1
C1 C 0.0000 0.0000 0.5000 1
Br1 Br 0.0000 0.0000 0.0998 1
# DOS at the Fermi energy: 12.30 states/eV per cell

Entry b
# FeCBr2 PBE-GGA optimized geometry
data_FeCBr2
_chemical_formula_sum 'Fe4 C4 Br8'
_space_group_name_H-M_alt 'F m -3 m'
_space_group_IT_number 225
_space_group_name_Hall '-F 4 2 3'
_cell_length_a 6.536
_cell_length_b 6.536
_cell_length_c 6.536
_cell_angle_alpha 90.00
_cell_angle_beta 90.00
_cell_angle_gamma 90.00
loop_
_atom_site_label
_atom_site_type_symbol
_atom_site_fract_x
_atom_site_fract_y
_atom_site_fract_z
_atom_site_occupancy
Fe1 Fe 0.000 0.000 0.000 1
C1 C 0.000 0.000 0.500 1
Br1 Br 0.250 0.250 0.250 1
# DOS at the Fermi energy: 16.44 states/eV per cell

Which is most stable? The ranking, best first, is entry a, entry b.

Entry a
# FeC2Br PBE-GGA optimized geometry
data_FeC2Br
_chemical_formula_sum 'Fe4 C8 Br4'
_space_group_name_H-M_alt 'F m -3 m'
_space_group_IT_number 225
_space_group_name_Hall '-F 4 2 3'
_cell_length_a 5.501
_cell_length_b 5.501
_cell_length_c 5.501
_cell_angle_alpha 90.00
_cell_angle_beta 90.00
_cell_angle_gamma 90.00
loop_
_atom_site_label
_atom_site_type_symbol
_atom_site_fract_x
_atom_site_fract_y
_atom_site_fract_z
_atom_site_occupancy
Fe1 Fe 0.000 0.000 0.000 1
C1 C 0.250 0.250 0.250 1
Br1 Br 0.000 0.000 0.500 1
# DOS at the Fermi energy: 18.02 states/eV per cell

Entry b
# FeC2Br PBE-GGA optimized geometry
data_FeC2Br
_chemical_formula_sum 'Fe4 C8 Br4'
_space_group_name_H-M_alt 'I -4 2 d'
_space_group_IT_number 122
_space_group_name_Hall 'I -4 2bw'
_cell_length_a 5.140
_cell_length_b 5.140
_cell_length_c 8.979
_cell_angle_alpha 90.00
_cell_angle_beta 90.00
_cell_angle_gamma 90.00
loop_
_atom_site_label
_atom_site_type_symbol
_atom_site_fract_x
_atom_site_fract_y
_atom_site_fract_z
_atom_site_occupancy
Fe1 Fe 0.000 0.000 0.000 1
C1 C 0.099 0.250 0.125 1
Br1 Br 0.000 0.000 0.500 1
# DOS at the Fermi energy: 12.98 states/eV per cell

Which is most stable? The ranking, best first, is entry b, entry a.

Entry a
# GaCBr2 PBE-GGA optimized geometry
data_GaCBr2
_chemical_formula_sum 'Ga3 C3 Br6'
_space_group_name_H-M_alt 'R -3 m'
_space_group_IT_number 166
_space_group_name_Hall '-R 3 2"'
_cell_length_a 4.1803
_cell_length_b 4.1803
_cell_length_c 24.3058
_cell_angle_alpha 90.00
_cell_angle_beta 90.00
_cell_angle_gamma 120.00
loop_
_atom_site_label
_atom_site_type_symbol
_atom_site_fract_x
_atom_site_fract_y
_atom_site_fract_z
_atom_site_occupancy
Ga1 Ga 0.0000 0.0000 0.0000 1
C1 C 0.0000 0.0000 0.5000 1
Br1 Br 0.0000 0.0000 0.4068 1
# DOS at the Fermi energy: 13.52 states/eV per cell

Entry b
# GaCBr2 PBE-GGA optimized geometry
data_GaCBr2
_chemical_formula_sum 'Ga4 C4 Br8'
_space_group_name_H-M_alt 'F m -3 m'
_space_group_IT_number 225
_space_group_name_Hall '-F 4 2 3'
_cell_length_a 7.049
_cell_length_b 7.049
_cell_length_c 7.049
_cell_angle_alpha 90.00
_cell_angle_beta 90.00
_cell_angle_gamma 90.00
loop_
_atom_site_label
_atom_site_type_symbol
_atom_site_fract_x
_atom_site_fract_y
_atom_site_fract_z
_atom_site_occupancy
Ga1 Ga 0.000 0.000 0.000 1
C1 C 0.000 0.000 0.500 1
Br1 Br 0.250 0.250 0.250 1
# DOS at the Fermi energy: 12.57 states/eV per cell

Entry c
# GaCBr2 PBE-GGA optimized geometry
data_GaCBr2
_chemical_formula_sum 'Ga3 C3 Br6'
_space_group_name_H-M_alt 'R -3 m'
_space_group_IT_number 166
_space_group_name_Hall '-R 3 2"'
_cell_length_a 3.4629
_cell_length_b 3.4629
_cell_length_c 26.8880
_cell_angle_alpha 90.00
_cell_angle_beta 90.00
_cell_angle_gamma 120.00
loop_
_atom_site_label
_atom_site_type_symbol
_atom_site_fract_x
_atom_site_fract_y
_atom_site_fract_z
_atom_site_occupancy
Ga1 Ga 0.0000 0.0000 0.0000 1
C1 C 0.0000 0.0000 0.5000 1
Br1 Br 0.0000 0.0000 0.1132 1
# DOS at the Fermi energy: 6.39 states/eV per cell

Which is most stable? The ranking, best first, is entry a, entry c, entry b.